The following is a GGA-PBE calculation of an optimized crystal structure of NpB2Os, from the Alexandria database.

The structure in POSCAR format:
```
NpB2Os
1.0
-0.8710 -2.1697 4.8258
5.6018 -0.9758 0.5723
0.7302 5.7980 2.7386
B Os Np
8 4 4
direct
0.0843 0.8628 0.0376
0.0843 0.3628 0.4624
0.9157 0.1372 0.9624
0.4157 0.8628 0.0376
0.5843 0.1372 0.9624
0.4157 0.3628 0.4624
0.9157 0.6372 0.5376
0.5843 0.6372 0.5376
0.2500 0.1870 0.1829
0.2500 0.6870 0.3171
0.7500 0.3130 0.6829
0.7500 0.8130 0.8171
0.2500 0.0005 0.6676
0.7500 0.4995 0.1676
0.2500 0.5005 0.8324
0.7500 0.9995 0.3324
```

space-group type = Pnma
energy = -9.737 eV per atom
calculated formation energy = -0.3553 eV per atom



The following is a GGA-PBE calculation of an optimized crystal structure of NpB4Os, from the Alexandria database.

The structure in POSCAR format:
```
NpB4Os
1.0
-2.6602 -3.5675 -0.6011
1.6485 -3.7432 -1.8534
0.5786 -3.6801 2.5073
Os B Np
1 4 1
direct
0.2500 0.2500 0.2500
0.5988 0.2036 0.5988
0.5988 0.5988 0.5988
0.5988 0.5988 0.2036
0.2036 0.5988 0.5988
0.0000 0.0000 0.0000
```

space-group type = F-43m
energy = -7.713 eV per atom
calculated formation energy = 0.7668 eV per atom



The following is a GGA-PBE calculation of an optimized crystal structure of NpB4Os, from the Alexandria database.

The structure in POSCAR format:
```
NpB4Os
1.0
-1.8538 2.1409 2.0788
-0.0612 -4.2088 4.2798
9.8784 4.3054 4.3752
Os B Np
4 16 4
direct
0.0000 0.3617 0.9068
0.0000 0.1383 0.4068
0.0000 0.8617 0.5932
0.0000 0.6383 0.0932
0.5000 0.1341 0.9684
0.5000 0.7125 0.6878
0.5000 0.6150 0.9533
0.5000 0.1150 0.5467
0.5000 0.8659 0.0316
0.5000 0.7875 0.1878
0.5000 0.3659 0.4684
0.5000 0.3850 0.0467
0.5000 0.9705 0.3081
0.5000 0.2125 0.8122
0.5000 0.4705 0.1919
0.5000 0.6341 0.5316
0.5000 0.8850 0.4533
0.5000 0.2875 0.3122
0.5000 0.0295 0.6919
0.5000 0.5295 0.8081
0.0000 0.8732 0.8501
0.0000 0.6268 0.3501
0.0000 0.1268 0.1499
0.0000 0.3732 0.6499
```

space-group type = Pbam
energy = -8.907 eV per atom
calculated formation energy = -0.4267 eV per atom



The following is a GGA-PBE calculation of an optimized crystal structure of NpBOs2, from the Alexandria database.

The structure in POSCAR format:
```
NpBOs2
1.0
-1.7008 0.9304 2.1206
-2.8386 -0.4204 -0.1457
-0.6697 -6.8236 4.4033
B Os Np
1 2 1
direct
0.0000 0.0000 0.0000
0.2747 0.2747 0.1758
0.7253 0.7253 0.8242
0.5000 0.5000 0.5000
```

space-group type = R-3m
energy = -10.308 eV per atom
calculated formation energy = 0.2117 eV per atom



The following is a GGA-PBE calculation of an optimized crystal structure of Np3B7Os, from the Alexandria database.

The structure in POSCAR format:
```
Np3B7Os
1.0
3.4375 0.0000 0.0000
-1.7187 7.8961 0.0000
0.0000 0.0000 9.3154
B Os Np
14 2 6
direct
0.5386 0.0772 0.2500
0.2737 0.5474 0.0312
0.6362 0.2723 0.8483
0.5228 0.0456 0.9081
0.3638 0.7277 0.1517
0.7263 0.4526 0.5312
0.7263 0.4526 0.9688
0.2737 0.5474 0.4688
0.6362 0.2723 0.6517
0.4614 0.9228 0.7500
0.4772 0.9544 0.0919
0.3638 0.7277 0.3483
0.4772 0.9544 0.4081
0.5228 0.0456 0.5919
0.9426 0.8853 0.2500
0.0574 0.1147 0.7500
0.7431 0.4863 0.2500
0.8910 0.7820 0.9328
0.1090 0.2180 0.0672
0.8910 0.7820 0.5672
0.2569 0.5137 0.7500
0.1090 0.2180 0.4328
```

space-group type = Cmcm
energy = -9.114 eV per atom
calculated formation energy = -0.3149 eV per atom



The following is a GGA-PBE calculation of an optimized crystal structure of NpBOs, from the Alexandria database.

The structure in POSCAR format:
```
NpBOs
1.0
2.9150 0.0000 0.0000
0.0000 2.9150 0.0000
-1.4575 -1.4575 5.1578
Os B Np
1 1 1
direct
0.2859 0.2859 0.5719
0.7070 0.7070 0.4141
0.0070 0.0070 0.0141
```

space-group type = I4mm
energy = -10.243 eV per atom
calculated formation energy = 0.0397 eV per atom



The following is a GGA-PBE calculation of an optimized crystal structure of Np3B2OsRh9, from the Alexandria database.

The structure in POSCAR format:
```
Np3B2OsRh9
1.0
5.6788 0.0000 0.0000
-2.8394 4.9180 0.0000
0.0000 0.0000 8.9025
Np Rh B Os
3 9 2 1
direct
0.3333 0.6667 0.6065
0.0000 0.0000 0.0000
0.6667 0.3333 0.3935
0.6691 0.8345 0.2812
0.0000 0.5000 0.0000
0.5000 0.5000 0.0000
0.8345 0.1655 0.7188
0.5000 0.0000 0.0000
0.8345 0.6691 0.7188
0.3309 0.1655 0.7188
0.1655 0.3309 0.2812
0.1655 0.8345 0.2812
0.3333 0.6667 0.1430
0.6667 0.3333 0.8570
0.0000 0.0000 0.5000
```

space-group type = P-3m1
energy = -8.812 eV per atom
calculated formation energy = -0.1740 eV per atom



The following is a GGA-PBE calculation of an optimized crystal structure of NpBP, from the Alexandria database.

The structure in POSCAR format:
```
NpBP
1.0
-2.7760 -1.8137 -0.0870
1.5910 0.4642 2.7929
-5.1791 7.9734 -0.9650
P Np B
2 2 2
direct
0.7589 0.5178 0.8314
0.2411 0.4822 0.1686
0.2968 0.5936 0.5950
0.7032 0.4064 0.4050
0.4579 0.9158 0.9046
0.5421 0.0842 0.0954
```

space-group type = C2/m
energy = -8.606 eV per atom
calculated formation energy = -0.2637 eV per atom



The following is a GGA-PBE calculation of an optimized crystal structure of NpBP, from the Alexandria database.

The structure in POSCAR format:
```
NpBP
1.0
5.2501 -0.7965 0.4646
-0.4858 3.1449 0.0006
0.0084 1.6005 2.7553
Np P B
1 1 1
direct
0.8751 0.1338 0.2541
0.3201 0.7640 0.4396
0.4535 0.5191 0.0607
```

space-group type = Cm
energy = -8.610 eV per atom
calculated formation energy = -0.2675 eV per atom



The following is a GGA-PBE calculation of an optimized crystal structure of NpPaB2, from the Alexandria database.

The structure in POSCAR format:
```
NpPaB2
1.0
4.0388 0.0000 0.0000
2.0194 3.4977 0.0000
2.0194 1.1659 4.4179
B Np Pa
2 1 1
direct
0.7637 0.7637 0.7090
0.2363 0.2363 0.2910
0.5000 0.5000 0.5000
0.0000 0.0000 0.0000
```

space-group type = R-3m
energy = -8.699 eV per atom
calculated formation energy = 0.2487 eV per atom



The following is a GGA-PBE calculation of an optimized crystal structure of Np2BPd2Rh4, from the Alexandria database.

The structure in POSCAR format:
```
Np2BPd2Rh4
1.0
-5.2811 -0.2883 2.4544
0.5804 -1.6843 -5.5519
4.1236 -3.6908 1.8362
Np Rh Pd B
2 4 2 1
direct
0.5000 0.2500 0.7500
0.5000 0.7500 0.2500
0.0000 0.2498 0.7502
0.0000 0.7502 0.2498
0.4996 0.2498 0.2498
0.5004 0.7502 0.7502
0.0000 0.2651 0.2651
0.0000 0.7349 0.7349
0.0000 0.0000 0.0000
```

space-group type = I4/mmm
energy = -8.518 eV per atom
calculated formation energy = -0.4787 eV per atom



The following is a GGA-PBE calculation of an optimized crystal structure of PmNpB4, from the Alexandria database.

The structure in POSCAR format:
```
PmNpB4
1.0
-4.0361 0.2150 0.0638
-0.2112 -5.0209 3.5535
0.5222 6.8990 9.7791
B Pm Np
16 4 4
direct
0.5000 0.8754 0.4478
0.5000 0.2930 0.3131
0.5000 0.7930 0.1869
0.5000 0.4789 0.1936
0.5000 0.1307 0.9688
0.5000 0.8693 0.0312
0.5000 0.3693 0.4688
0.5000 0.1246 0.5522
0.5000 0.3754 0.0522
0.5000 0.2070 0.8131
0.5000 0.5211 0.8064
0.5000 0.6307 0.5312
0.5000 0.7070 0.6869
0.5000 0.0211 0.6936
0.5000 0.6246 0.9478
0.5000 0.9789 0.3064
0.0000 0.3815 0.6566
0.0000 0.6185 0.3434
0.0000 0.8815 0.8434
0.0000 0.1185 0.1566
0.0000 0.6187 0.0756
0.0000 0.3813 0.9244
0.0000 0.8813 0.5756
0.0000 0.1187 0.4244
```

space-group type = Pbam
energy = -7.604 eV per atom
calculated formation energy = -0.2040 eV per atom



- Look up the calculated formation energy of the tenth one.
  0.2487 eV per atom



- calculated formation energy of number 7 (Np3B2OsRh9)?
  -0.1740 eV per atom